(1)
Os2PbBr2 after structural relaxation, computed with GGA-PBE.

Geometry as POSCAR:
```
Os2PbBr2
1.0
4.401 0.000 0.000
0.000 4.401 0.000
2.201 2.201 5.648
Os Pb Br
2 1 2
direct
0.399 0.399 0.203 Os
0.601 0.601 0.797 Os
0.000 0.000 0.000 Pb
0.250 0.750 0.500 Br
0.750 0.250 0.500 Br
```

Properties
Symmetry: No. 139
Formation energy without anion corrections (eV/atom): 1.006

(2)
Pm4Sm3Y5 after structural relaxation, computed with GGA-PBE.

Geometry as POSCAR:
```
Pm4Sm3Y5
1.0
-1.410 -3.524 4.625
6.633 -5.202 1.929
-1.297 5.714 7.829
Pm Sm Y
4 3 5
direct
0.138 0.778 0.946 Pm
0.169 0.044 0.618 Pm
0.831 0.956 0.382 Pm
0.862 0.222 0.054 Pm
0.523 0.687 0.267 Sm
0.477 0.313 0.733 Sm
0.000 0.500 0.500 Sm
0.785 0.543 0.887 Y
0.215 0.457 0.113 Y
0.500 0.500 0.500 Y
0.628 0.944 0.799 Y
0.372 0.056 0.201 Y
```

Properties
Symmetry: No. 12
Calculated formation energy (eV/atom): 0.217

| no. | DFT total energy (eV per atom) | density (kg/m3) |
| --- | --- | --- |
| 1 | -4.8967 | 11347 |
| 2 | -5.2393 | 5993 |